6
Lattice="-3.248 -4.919 1.271 -5.734 -0.382 -1.826 -1.514 -3.834 -4.401" Properties=species:S:1:pos:R:3 comment="SrZr4Hg PBE-GGA relaxed" total_magnetization_mub_per_atom=0.000 final_energy_ev_per_cell=-33.95 dos_at_fermi_per_ev_cell=8.4 delta_e_f_ev_per_atom=0.371 pbc="T T T"
Sr 0.000 0.000 0.000
Zr -5.562 -5.893 -1.216
Zr -4.690 -5.347 -4.068
Zr -6.812 -3.611 -2.773
Zr -3.929 -3.419 -1.855
Hg -7.872 -6.852 -3.717

16
Lattice="-5.023 1.258 0.828 -0.825 -7.627 6.587 1.764 3.914 4.753" Properties=species:S:1:pos:R:3 comment="TaHg3 PBE-GGA relaxed" total_magnetization_mub_per_atom=0.000 final_energy_ev_per_cell=-44.55 dos_at_fermi_per_ev_cell=14.6 delta_e_f_ev_per_atom=0.405 pbc="T T T"
Hg -3.362 2.705 6.592
Hg -0.486 1.690 1.977
Hg -0.890 -2.044 5.202
Hg -0.261 -0.106 7.687
Hg -0.665 -3.840 10.912
Hg -2.784 -3.535 7.200
Hg -1.300 1.079 4.968
Hg -3.419 1.384 1.256
Hg -3.822 -2.350 4.481
Hg -3.194 -0.411 6.966
Hg -3.597 -4.146 10.191
Hg -0.721 -5.160 5.576
Ta 0.034 -3.069 8.092
Ta -1.972 -0.828 2.675
Ta -2.112 -1.628 9.493
Ta -4.117 0.614 4.076

Please write out number 1 again, unchanged.
6
Lattice="-3.248 -4.919 1.271 -5.734 -0.382 -1.826 -1.514 -3.834 -4.401" Properties=species:S:1:pos:R:3 comment="SrZr4Hg PBE-GGA relaxed" total_magnetization_mub_per_atom=0.000 final_energy_ev_per_cell=-33.95 dos_at_fermi_per_ev_cell=8.4 delta_e_f_ev_per_atom=0.371 pbc="T T T"
Sr 0.000 0.000 0.000
Zr -5.562 -5.893 -1.216
Zr -4.690 -5.347 -4.068
Zr -6.812 -3.611 -2.773
Zr -3.929 -3.419 -1.855
Hg -7.872 -6.852 -3.717